Sr3CaHf4O12: optimized geometry, PBEsol.

Cell and atoms, written as CIF:
```
data_Sr3CaHf4O12
_chemical_formula_sum 'Sr3 Ca1 Hf4 O12'
_symmetry_space_group_name_H-M 'P 1'
_symmetry_Int_Tables_number 1
_symmetry_space_group_name_Hall 'P 1'
_cell_length_a 5.6841
_cell_length_b 8.0732
_cell_length_c 5.7500
_cell_angle_alpha 90.00
_cell_angle_beta 90.20
_cell_angle_gamma 90.00
loop_
_atom_site_label
_atom_site_type_symbol
_atom_site_fract_x
_atom_site_fract_y
_atom_site_fract_z
Sr1 Sr 0.0000 0.0000 0.0000
Sr2 Sr 0.0145 0.5000 0.9352
Sr3 Sr 0.4978 0.5000 0.4426
Ca1 Ca 0.5130 0.0000 0.5121
Hf1 Hf 0.0054 0.2474 0.4692
Hf2 Hf 0.0054 0.7526 0.4692
Hf3 Hf 0.5049 0.2483 0.9719
Hf4 Hf 0.5049 0.7517 0.9719
O1 O 0.0991 0.0000 0.4574
O2 O 0.2146 0.2843 0.1806
O3 O 0.2146 0.7157 0.1806
O4 O 0.2884 0.2912 0.6869
O5 O 0.2884 0.7088 0.6869
O6 O 0.4332 0.0000 0.9303
O7 O 0.5787 0.5000 0.9948
O8 O 0.7110 0.1987 0.2634
O9 O 0.7110 0.8013 0.2634
O10 O 0.7897 0.2130 0.7546
O11 O 0.7897 0.7870 0.7546
O12 O 0.9348 0.5000 0.4769
```

E_tot: -9.07 eV/atom
Formation energy from raw total energies: -3439 meV/atom

Fe4MoRu: optimized geometry, PBEsol.

Cell and atoms, written as CIF:
```
data_Fe4MoRu
_chemical_formula_sum 'Fe4 Mo1 Ru1'
_symmetry_space_group_name_H-M 'P 1'
_symmetry_Int_Tables_number 1
_symmetry_space_group_name_Hall 'P 1'
_cell_length_a 4.6069
_cell_length_b 4.6069
_cell_length_c 4.6069
_cell_angle_alpha 60.00
_cell_angle_beta 60.00
_cell_angle_gamma 60.00
loop_
_atom_site_label
_atom_site_type_symbol
_atom_site_fract_x
_atom_site_fract_y
_atom_site_fract_z
Fe1 Fe 0.1255 0.1255 0.1255
Fe2 Fe 0.1255 0.1255 0.6235
Fe3 Fe 0.1255 0.6235 0.1255
Fe4 Fe 0.6235 0.1255 0.1255
Mo1 Mo 0.7500 0.7500 0.7500
Ru1 Ru 0.5000 0.5000 0.5000
```

Formation energy: -0.0056 eV per atom
E_tot: -9.64 eV/atom

K2Ag4Se3: optimized geometry, PBEsol.

Cell and atoms, written as CIF:
```
data_K2Ag4Se3
_chemical_formula_sum 'K4 Ag8 Se6'
_symmetry_space_group_name_H-M 'P 1'
_symmetry_Int_Tables_number 1
_symmetry_space_group_name_Hall 'P 1'
_cell_length_a 9.1872
_cell_length_b 9.1872
_cell_length_c 11.6883
_cell_angle_alpha 107.77
_cell_angle_beta 107.77
_cell_angle_gamma 27.41
loop_
_atom_site_label
_atom_site_type_symbol
_atom_site_fract_x
_atom_site_fract_y
_atom_site_fract_z
K1 K 0.1631 0.1631 0.3372
K2 K 0.3143 0.3143 0.1575
K3 K 0.6857 0.6857 0.8425
K4 K 0.8369 0.8369 0.6628
Ag1 Ag 0.0832 0.0832 0.5776
Ag2 Ag 0.0865 0.0865 0.0164
Ag3 Ag 0.4824 0.4824 0.8707
Ag4 Ag 0.4898 0.4898 0.6213
Ag5 Ag 0.5102 0.5102 0.3787
Ag6 Ag 0.5176 0.5176 0.1293
Ag7 Ag 0.9135 0.9135 0.9836
Ag8 Ag 0.9168 0.9168 0.4224
Se1 Se 0.0337 0.0337 0.7751
Se2 Se 0.3382 0.3382 0.8846
Se3 Se 0.3522 0.3522 0.4580
Se4 Se 0.6478 0.6478 0.5420
Se5 Se 0.6618 0.6618 0.1154
Se6 Se 0.9663 0.9663 0.2249
```

E_tot: -3.50 eV/atom
Formation energy from raw total energies: -497 meV/atom